HfCSe2N: single point on PBEsol structure, meta-GGA SCAN.

Output
**Uncorrected energy**: -23.20 eV per atom
**Formation energy (no corrections)**: 6.2 eV/f.u.
**Space-group type**: P4/mmm, No. 123
**Density of states at the Fermi level**: 0.542 states/eV/atom

CIF file:
```
data_HfCSe2N
_cell_length_a 4.008
_cell_length_b 5.141
_cell_length_c 5.141
_cell_angle_alpha 90.00
_cell_angle_beta 90.00
_cell_angle_gamma 90.00
_symmetry_space_group_name_H-M 'P 1'
_symmetry_Int_Tables_number 1
_symmetry_space_group_name_Hall 'P 1'
loop_
_atom_site_label
_atom_site_fract_x
_atom_site_fract_y
_atom_site_fract_z
C1 0.500 0.500 0.500
Hf1 0.000 0.000 0.000
Se1 0.000 0.000 0.500
Se2 0.000 0.500 0.000
N1 0.500 0.000 0.000
```



OsAuSe2N: single point on PBEsol structure, meta-GGA SCAN.

Output
**Uncorrected energy**: -37.47 eV per atom
**Formation energy (no corrections)**: 3.1 eV/f.u.
**Space-group type**: P4/mmm, No. 123
**Density of states at the Fermi level**: 0.878 states/eV/atom

CIF file:
```
data_OsAuSe2N
_cell_length_a 3.631
_cell_length_b 5.009
_cell_length_c 5.009
_cell_angle_alpha 90.00
_cell_angle_beta 90.00
_cell_angle_gamma 90.00
_symmetry_space_group_name_H-M 'P 1'
_symmetry_Int_Tables_number 1
_symmetry_space_group_name_Hall 'P 1'
loop_
_atom_site_label
_atom_site_fract_x
_atom_site_fract_y
_atom_site_fract_z
Os1 0.000 0.000 0.000
Au1 0.500 0.500 0.500
Se1 0.000 0.000 0.500
Se2 0.000 0.500 0.000
N1 0.500 0.000 0.000
```



Li4V3SiO10: single point on PBEsol structure, meta-GGA SCAN.

Output
**Uncorrected energy**: -10.04 eV per atom
**Formation energy (no corrections)**: -46.4 eV/f.u.
**Space-group type**: P1, No. 1
**Density of states at the Fermi level**: 0.113 states/eV/atom

CIF file:
```
data_Li4V3SiO10
_cell_length_a 5.064
_cell_length_b 6.032
_cell_length_c 8.034
_cell_angle_alpha 90.32
_cell_angle_beta 108.28
_cell_angle_gamma 89.29
_symmetry_space_group_name_H-M 'P 1'
_symmetry_Int_Tables_number 1
_symmetry_space_group_name_Hall 'P 1'
loop_
_atom_site_label
_atom_site_fract_x
_atom_site_fract_y
_atom_site_fract_z
Li1 0.022 0.348 0.888
Li2 0.629 0.357 0.126
Li3 0.136 0.658 0.114
Li4 0.520 0.654 0.897
V1 0.442 0.155 0.724
V2 0.206 0.154 0.282
V3 0.929 0.837 0.708
Si1 0.708 0.847 0.276
O1 0.808 0.109 0.753
O2 0.546 0.093 0.249
O3 0.262 0.226 0.502
O4 0.399 0.343 0.873
O5 0.029 0.348 0.136
O6 0.530 0.665 0.141
O7 0.885 0.654 0.857
O8 0.772 0.770 0.480
O9 0.290 0.889 0.752
O10 0.009 0.891 0.240
```



ZrTeAs2: single point on PBEsol structure, meta-GGA SCAN.

Output
**Uncorrected energy**: -27.75 eV per atom
**Formation energy (no corrections)**: -2.7 eV/f.u.
**Space-group type**: Pm, No. 6
**Density of states at the Fermi level**: 0.145 states/eV/atom

CIF file:
```
data_ZrTeAs2
_cell_length_a 3.705
_cell_length_b 3.706
_cell_length_c 7.129
_cell_angle_alpha 89.62
_cell_angle_beta 90.00
_cell_angle_gamma 90.00
_symmetry_space_group_name_H-M 'P 1'
_symmetry_Int_Tables_number 1
_symmetry_space_group_name_Hall 'P 1'
loop_
_atom_site_label
_atom_site_fract_x
_atom_site_fract_y
_atom_site_fract_z
As1 0.000 0.124 0.075
As2 0.500 0.621 0.074
Te1 0.000 0.628 0.582
Zr1 0.500 0.127 0.769
```



SiHgTe2: single point on PBEsol structure, meta-GGA SCAN.

Output
**Uncorrected energy**: -37.61 eV per atom
**Formation energy (no corrections)**: 2.2 eV/f.u.
**Space-group type**: Pmmm, No. 47
**E above lowest polymorph**: 469.1 meV per atom
**Density of states at the Fermi level**: 0.484 states/eV/atom

CIF file:
```
data_SiHgTe2
_cell_length_a 3.647
_cell_length_b 5.130
_cell_length_c 5.119
_cell_angle_alpha 90.00
_cell_angle_beta 90.00
_cell_angle_gamma 90.00
_symmetry_space_group_name_H-M 'P 1'
_symmetry_Int_Tables_number 1
_symmetry_space_group_name_Hall 'P 1'
loop_
_atom_site_label
_atom_site_fract_x
_atom_site_fract_y
_atom_site_fract_z
Hg1 0.500 0.000 0.500
Si1 0.000 0.500 0.500
Te1 0.000 0.000 0.000
Te2 0.500 0.500 0.000
```



HgRuBr2: single point on PBEsol structure, meta-GGA SCAN.

Output
**Uncorrected energy**: -35.36 eV per atom
**Formation energy (no corrections)**: 0.5 eV/f.u.
**Space-group type**: P2/m, No. 10
**E above lowest polymorph**: 246.8 meV per atom
**Density of states at the Fermi level**: 0.558 states/eV/atom

CIF file:
```
data_HgRuBr2
_cell_length_a 3.036
_cell_length_b 3.596
_cell_length_c 8.994
_cell_angle_alpha 90.00
_cell_angle_beta 90.18
_cell_angle_gamma 90.00
_symmetry_space_group_name_H-M 'P 1'
_symmetry_Int_Tables_number 1
_symmetry_space_group_name_Hall 'P 1'
loop_
_atom_site_label
_atom_site_fract_x
_atom_site_fract_y
_atom_site_fract_z
Ru1 0.000 0.500 0.000
Hg1 0.500 0.500 0.500
Br1 0.002 0.000 0.181
Br2 0.998 0.000 0.819
```